No. 1
Compound: ScTl2Re
Source: the Alexandria database
Functional: PBEsol
Structure: optimized geometry

```
ScTl2Re
1.0
4.3392 0.0000 0.0000
0.0000 4.3392 0.0000
-2.1696 -2.1696 4.0725
Re Tl Sc
1 2 1
Direct
0.5000 0.5000 0.0000
0.2500 0.7500 0.5000
0.7500 0.2500 0.5000
0.0000 0.0000 0.0000
```

Results
* DFT formation energy: 0.343 eV/atom

***

No. 2
Compound: ScTlRe2
Source: the Alexandria database
Functional: PBEsol
Structure: optimized geometry

```
ScTlRe2
1.0
-0.0286 -2.7306 2.7521
0.0982 -3.1774 -3.1515
4.0350 2.9962 0.2839
Tl Re Sc
1 2 1
Direct
0.2631 0.2631 0.5263
0.0258 0.5258 0.0515
0.7176 0.7176 0.4353
0.4935 0.9935 0.9869
```

Results
* DFT formation energy: 0.313 eV/atom

***

Calculated ΔE to the lowest computed polymorph in order - 0.00; 0.00 eV per formula unit